Here is a geometry-optimized PmSm6Y2 structure from Alexandria. Energies are from PBE.

Offset from the most stable computed form in meV per atom: 78
SG: P-3m1 (164)
Energy relative to the elements in eV per atom: 0.212

Lattice parameters (Å, degrees): 7.524 7.524 6.212 90.00 90.00 120.00
Positions (direct):
Pm1 0.000 0.000 0.000
Sm1 0.188 0.375 0.707
Sm2 0.188 0.812 0.707
Sm3 0.375 0.188 0.293
Sm4 0.625 0.812 0.707
Sm5 0.812 0.188 0.293
Sm6 0.812 0.625 0.293
Y1 0.333 0.667 0.212
Y2 0.667 0.333 0.788